Below is an optimized crystal structure of RbTlAu3, with properties calculated at the PBE level.

abc: 6.1447 6.1447 6.1447
angles: 90.00 90.00 90.00
Closest atoms and distances in Å follow each position.
Fractional positions:
Rb: 0.0000 0.0000 0.0000  6 Au 3.07
Tl: 0.5000 0.5000 0.5000  12 Au 4.34
Au: 0.0000 0.0000 0.5000  2 Rb 3.07
Au: 0.0000 0.5000 0.0000  2 Rb 3.07
Au: 0.5000 0.0000 0.0000  2 Rb 3.07

Summary:
Calculated volume ... 232.0 Å³/f.u.
ΔH_f (0 K) ... 0.85 eV per atom
SG ... Pm-3m (221)